Compound: KCaW2
Source: Alexandria
Functional: PBE
Structure: relaxed

As for the density of states at the Fermi level: 4.3 states/eV/f.u. The calculated density is 6884 kg/m3. Its energy is -6.32 eV per atom. The energy relative to the elements comes out at 0.93 eV/atom. The offset from the most stable computed form comes out at 0.011 eV/atom.

The structure belongs to space group R3m (No. 160, hexagonal axes); the cell edges are 3.3129, 3.3129 and 34.0218 Å and the angles 90.00°, 90.00° and 120.00°. The inequivalent atoms are K at (0.0000, 0.0000, 0.0000), Ca at (0.0000, 0.0000, 0.7806), W at (0.0000, 0.0000, 0.2407) and W at (0.0000, 0.0000, 0.5252).